Here is a geometry-optimized Na3Mg structure from the Alexandria database. Energies are from PBE.

Calculated values
The raw total energy is -1.308 eV/atom. For the magnetization, the calculation gives 0.00 μB/cell. As for the volume: 128 Å³ per cell.

The structure in CIF format:
```
data_Na3Mg
_chemical_formula_sum 'Na3 Mg1'
_symmetry_space_group_name_H-M 'P -6 m 2'
_symmetry_Int_Tables_number 187
_symmetry_space_group_name_Hall 'P -6 2'
_cell_length_a 3.5403
_cell_length_b 3.5403
_cell_length_c 11.7998
_cell_angle_alpha 90.00
_cell_angle_beta 90.00
_cell_angle_gamma 120.00
loop_
_atom_site_label
_atom_site_type_symbol
_atom_site_fract_x
_atom_site_fract_y
_atom_site_fract_z
Na1 Na 0.0000 0.0000 0.0000
Na2 Na 0.6667 0.3333 0.2643
Mg1 Mg 0.0000 0.0000 0.5000
```

---

Here is a geometry-optimized Pm2In2Pd structure from the Alexandria database. Energies are from PBE.

Calculated values
The raw total energy is -4.632 eV/atom. For the magnetization, the calculation gives 0.00 μB/cell. As for the volume: 526 Å³ per cell.

The structure in CIF format:
```
data_Pm2In2Pd
_chemical_formula_sum 'Pm8 In8 Pd4'
_symmetry_space_group_name_H-M 'C 1 2/m 1'
_symmetry_Int_Tables_number 12
_symmetry_space_group_name_Hall '-C 2y'
_cell_length_a 11.092
_cell_length_b 4.578
_cell_length_c 11.443
_cell_angle_alpha 90.00
_cell_angle_beta 115.08
_cell_angle_gamma 90.00
loop_
_atom_site_label
_atom_site_type_symbol
_atom_site_fract_x
_atom_site_fract_y
_atom_site_fract_z
Pm1 Pm 0.003 0.000 0.174
Pm2 Pm 0.183 0.000 0.624
In1 In 0.037 0.500 0.390
In2 In 0.156 0.500 0.051
Pd1 Pd 0.214 0.500 0.826
```

---

Here is a geometry-optimized Mn2NiP structure from the Alexandria database. Energies are from PBE.

Calculated values
The raw total energy is -7.325 eV/atom. For the magnetization, the calculation gives 18.60 μB/cell. As for the volume: 199 Å³ per cell.

The structure in CIF format:
```
data_Mn2NiP
_chemical_formula_sum 'Mn8 Ni4 P4'
_symmetry_space_group_name_H-M 'I -4 2 d'
_symmetry_Int_Tables_number 122
_symmetry_space_group_name_Hall 'I -4 2bw'
_cell_length_a 6.426
_cell_length_b 6.426
_cell_length_c 4.815
_cell_angle_alpha 90.00
_cell_angle_beta 90.00
_cell_angle_gamma 90.00
loop_
_atom_site_label
_atom_site_type_symbol
_atom_site_fract_x
_atom_site_fract_y
_atom_site_fract_z
Mn1 Mn 0.223 0.750 0.125
Ni1 Ni 0.000 0.000 0.500
P1 P 0.000 0.000 0.000
```

---

Here is a geometry-optimized LaSiRh2 structure from the Alexandria database. Energies are from PBE.

Calculated values
The raw total energy is -6.882 eV/atom. For the magnetization, the calculation gives 0.00 μB/cell. Its raw formation energy is -619 meV per atom. As for the volume: 152 Å³ per cell.

The structure in CIF format:
```
data_LaSiRh2
_chemical_formula_sum 'La2 Si2 Rh4'
_symmetry_space_group_name_H-M 'I m m m'
_symmetry_Int_Tables_number 71
_symmetry_space_group_name_Hall '-I 2 2'
_cell_length_a 3.947
_cell_length_b 5.337
_cell_length_c 7.207
_cell_angle_alpha 90.00
_cell_angle_beta 90.00
_cell_angle_gamma 90.00
loop_
_atom_site_label
_atom_site_type_symbol
_atom_site_fract_x
_atom_site_fract_y
_atom_site_fract_z
La1 La 0.000 0.000 0.000
Si1 Si 0.000 0.000 0.500
Rh1 Rh 0.000 0.500 0.198
```

---

Which of these has the highest magnetization?
Mn2NiP

---

Which formula does entry 2 have?
Pm2In2Pd

---

What is the raw total energy in the third record?
-7.325 eV/atom

---

Please write out number 3 again, unchanged.
Here is a geometry-optimized Mn2NiP structure from the Alexandria database. Energies are from PBE.

Calculated values
The raw total energy is -7.325 eV/atom. For the magnetization, the calculation gives 18.60 μB/cell. As for the volume: 199 Å³ per cell.

The structure in CIF format:
```
data_Mn2NiP
_chemical_formula_sum 'Mn8 Ni4 P4'
_symmetry_space_group_name_H-M 'I -4 2 d'
_symmetry_Int_Tables_number 122
_symmetry_space_group_name_Hall 'I -4 2bw'
_cell_length_a 6.426
_cell_length_b 6.426
_cell_length_c 4.815
_cell_angle_alpha 90.00
_cell_angle_beta 90.00
_cell_angle_gamma 90.00
loop_
_atom_site_label
_atom_site_type_symbol
_atom_site_fract_x
_atom_site_fract_y
_atom_site_fract_z
Mn1 Mn 0.223 0.750 0.125
Ni1 Ni 0.000 0.000 0.500
P1 P 0.000 0.000 0.000
```